No. 1
H2Pd4Pb: optimized geometry, PBE-GGA.

The value obtained for the polymorph energy (0 for the lowest one) is 0.0223 eV/atom.

Unit cell a=6.567 b=6.567 c=6.567 alpha=100.97 beta=100.97 gamma=128.26
Fractional coordinates of all 14 atoms:
Pd 0.300 0.579 0.118
Pd 0.788 0.171 0.221
Pd 0.829 0.050 0.618
Pd 0.421 0.538 0.721
H 0.625 0.319 0.194
Pb 0.250 0.750 0.500
Pd 0.433 0.212 0.382
H 0.681 0.875 0.306
Pd 0.950 0.567 0.779
Pd 0.462 0.183 0.882
H 0.125 0.431 0.806
Pb 0.000 0.000 0.000
H 0.569 0.375 0.694
Pd 0.817 0.700 0.279

No. 2
InW2Se: optimized geometry, PBE-GGA.

The value obtained for the polymorph energy (0 for the lowest one) is 0.5877 eV/atom. For the uncorrected formation energy, the calculation gives 0.889 eV per atom.

Unit cell a=4.594 b=4.594 c=4.594 alpha=60.00 beta=60.00 gamma=60.00
Fractional coordinates of all 4 atoms:
Se 0.000 0.000 0.000
W 0.750 0.750 0.750
In 0.500 0.500 0.500
W 0.250 0.250 0.250

No. 3
ThMg2Cu2Ge2: optimized geometry, PBE-GGA.

The formation energy comes out at -0.36 eV/atom.

Unit cell a=4.273 b=4.273 c=8.728 alpha=75.83 beta=75.83 gamma=60.00
Fractional coordinates of all 7 atoms:
Mg 0.866 0.866 0.403
Ge 0.254 0.254 0.238
Th 0.000 0.000 0.000
Ge 0.746 0.746 0.762
Mg 0.134 0.134 0.597
Cu 0.415 0.415 0.755
Cu 0.585 0.585 0.245

No. 4
Sc5P: optimized geometry, PBE-GGA.

The formation energy comes out at -0.27 eV/atom. The value obtained for the polymorph energy (0 for the lowest one) is 0.1035 eV/atom.

Unit cell a=7.997 b=7.997 c=4.661 alpha=90.00 beta=90.00 gamma=154.45
Fractional coordinates of all 6 atoms:
Sc 0.110 0.890 0.500
Sc 0.776 0.224 0.500
P 0.004 0.996 0.000
Sc 0.332 0.668 0.000
Sc 0.647 0.353 0.000
Sc 0.464 0.536 0.500